No. 1
A geometry-optimized BaNaTlPb2 structure. Source: Alexandria, functional GGA-PBE.

For the volume, the calculation gives 354 Å³ per cell. Its total moment is 0.00 Bohr magnetons per cell.

The structure belongs to space group I-4m2 (No. 119); the cell edges are 5.0043, 5.0043 and 14.1224 Å and the angles 90.00°, 90.00° and 90.00°. The distinct sites, in fractional coordinates, are Ba at (0.0000, 0.0000, 0.0000), Na at (0.0000, 0.5000, 0.7500), Tl at (0.0000, 0.5000, 0.2500) and Pb at (0.0000, 0.0000, 0.3923).

=====

No. 2
A geometry-optimized Pr8SnBi5 structure. Source: Alexandria, functional GGA-PBE.

For the volume, the calculation gives 927 Å³ per cell. Its total moment is 0.00 Bohr magnetons per cell.

The structure belongs to space group I-4 (No. 82); the cell edges are 9.7452, 9.7452 and 9.7652 Å and the angles 90.00°, 90.00° and 90.00°. The distinct sites, in fractional coordinates, are Pr at (0.0700, 0.3232, 0.0505), Pr at (0.0710, 0.1833, 0.6962), Sn at (0.0000, 0.5000, 0.7500), Bi at (0.0000, 0.0000, 0.0000) and Bi at (0.1239, 0.2493, 0.3731).

=====

| no. | E_tot (eV per atom) |
| --- | --- |
| 1 | -2.892 |
| 2 | -5.235 |